Entry 1:
VASP calculation (PBE-GGA) on crystalline NpSiSe at its relaxed geometry.

Geometry as CIF:
```
data_NpSiSe
_space_group_name_H-M_alt 'F m m m'
_space_group_IT_number 69
_space_group_name_Hall '-F 2 2'
_cell_length_a 5.670
_cell_length_b 14.259
_cell_length_c 17.538
_cell_angle_alpha 90.00
_cell_angle_beta 90.00
_cell_angle_gamma 90.00
loop_
_atom_site_label
_atom_site_type_symbol
_atom_site_fract_x
_atom_site_fract_y
_atom_site_fract_z
Np1 Np 0.000 0.157 0.167
Si1 Si 0.000 0.000 0.068
Si2 Si 0.000 0.144 0.000
Se1 Se 0.000 0.140 0.332
```

- Formation energy without anion corrections: -0.2628 eV/atom
- Magnetization: 65.52 Bohr magnetons per cell
- D(E_F): 2.930 states/eV/atom


Entry 2:
VASP calculation (PBE-GGA) on crystalline RePb3 at its relaxed geometry.

Geometry as CIF:
```
data_RePb3
_space_group_name_H-M_alt 'P m -3 m'
_space_group_IT_number 221
_space_group_name_Hall '-P 4 2 3'
_cell_length_a 4.714
_cell_length_b 4.714
_cell_length_c 4.714
_cell_angle_alpha 90.00
_cell_angle_beta 90.00
_cell_angle_gamma 90.00
loop_
_atom_site_label
_atom_site_type_symbol
_atom_site_fract_x
_atom_site_fract_y
_atom_site_fract_z
Re1 Re 0.000 0.000 0.000
Pb1 Pb 0.000 0.500 0.500
```

- Energy relative to the elements: 1.06 eV/atom
- Magnetization: 3.04 Bohr magnetons per cell
- Energy relative to the lowest polymorph listed for this composition: 643.0 meV/atom
- D(E_F): 0.921 states/eV/atom